No. 1
First-principles (PBE) data for a geometry-optimized TbPr8Y5 structure, as listed in Alexandria.

a b c (Å): 8.6615 8.6615 8.6615
angles (deg): 111.08 111.08 106.29
Sites, in units of the cell vectors:
Tb: 0.0000 0.0000 0.0000
Pr: 0.0941 0.3220 0.4117
Pr: 0.2775 0.1743 0.7627
Pr: 0.3177 0.9059 0.2280
Pr: 0.4116 0.5148 0.2373
Pr: 0.4852 0.7225 0.8968
Pr: 0.6780 0.0897 0.7720
Pr: 0.8257 0.5884 0.1032
Pr: 0.9103 0.6823 0.5883
Y: 0.0270 0.4339 0.8115
Y: 0.2500 0.7500 0.5000
Y: 0.5661 0.3776 0.5930
Y: 0.6224 0.2154 0.1885
Y: 0.7846 0.9730 0.4070


No. 2
First-principles (PBE) data for a geometry-optimized TbPr2Y5 structure, as listed in Alexandria.

## Properties
excess energy over the best structure of this formula in the dataset = 126 meV per atom

a b c (Å): 9.5651 9.5651 6.6487
angles (deg): 98.23 98.23 62.92
Sites, in units of the cell vectors:
Tb: 0.0000 0.5000 0.0000
Tb: 0.5000 0.0000 0.5000
Pr: 0.1644 0.6734 0.8766
Pr: 0.3266 0.8356 0.6234
Pr: 0.6734 0.1644 0.3766
Pr: 0.8356 0.3266 0.1234
Y: 0.0114 0.1882 0.6488
Y: 0.1882 0.0114 0.1488
Y: 0.2132 0.3875 0.4703
Y: 0.3875 0.2132 0.9703
Y: 0.4382 0.5618 0.2500
Y: 0.5618 0.4382 0.7500
Y: 0.6125 0.7868 0.0297
Y: 0.7868 0.6125 0.5297
Y: 0.8118 0.9886 0.8512
Y: 0.9886 0.8118 0.3512


No. 3
First-principles (PBE) data for a geometry-optimized Tb6Pr8Y structure, as listed in Alexandria.

## Properties
excess energy over the best structure of this formula in the dataset = 0 meV per atom

a b c (Å): 8.7099 8.7099 8.7099
angles (deg): 65.27 65.27 65.27
Sites, in units of the cell vectors:
Tb: 0.0540 0.6079 0.7589
Tb: 0.2411 0.9460 0.3921
Tb: 0.3921 0.2411 0.9460
Tb: 0.6079 0.7589 0.0540
Tb: 0.7589 0.0540 0.6079
Tb: 0.9460 0.3921 0.2411
Pr: 0.0740 0.0740 0.0740
Pr: 0.1669 0.2714 0.5862
Pr: 0.2714 0.5862 0.1669
Pr: 0.4138 0.8331 0.7286
Pr: 0.5862 0.1669 0.2714
Pr: 0.7286 0.4138 0.8331
Pr: 0.8331 0.7286 0.4138
Pr: 0.9260 0.9260 0.9260
Y: 0.5000 0.5000 0.5000


No. 4
First-principles (PBE) data for a geometry-optimized Tb12Pr5Y structure, as listed in Alexandria.

a b c (Å): 10.5304 10.5304 5.8044
angles (deg): 90.00 90.00 111.73
Sites, in units of the cell vectors:
Tb: 0.0257 0.6662 0.9997
Tb: 0.1656 0.5232 0.5004
Tb: 0.2018 0.2018 0.4980
Tb: 0.3010 0.3010 0.9981
Tb: 0.3338 0.9743 0.0003
Tb: 0.4768 0.8344 0.4996
Tb: 0.5232 0.1656 0.5004
Tb: 0.6662 0.0257 0.9997
Tb: 0.6990 0.6990 0.0019
Tb: 0.7982 0.7982 0.5020
Tb: 0.8344 0.4768 0.4996
Tb: 0.9743 0.3338 0.0003
Pr: 0.0000 0.0000 0.0000
Pr: 0.1393 0.8607 0.5000
Pr: 0.3635 0.6365 0.0000
Pr: 0.6365 0.3635 0.0000
Pr: 0.8607 0.1393 0.5000
Y: 0.5000 0.5000 0.5000


No. 5
First-principles (PBE) data for a geometry-optimized Tb5Pr3Y structure, as listed in Alexandria.

a b c (Å): 9.6156 9.6156 10.0507
angles (deg): 121.22 121.22 73.23
Sites, in units of the cell vectors:
Tb: 0.0911 0.5929 0.2485
Tb: 0.2209 0.2209 0.2256
Tb: 0.2443 0.7557 0.0000
Tb: 0.2771 0.2771 0.9607
Tb: 0.4071 0.9089 0.7515
Tb: 0.5929 0.0911 0.2485
Tb: 0.7229 0.7229 0.0393
Tb: 0.7557 0.2443 0.0000
Tb: 0.7791 0.7791 0.7744
Tb: 0.9089 0.4071 0.7515
Pr: 0.0000 0.0000 0.5000
Pr: 0.0076 0.0076 0.8118
Pr: 0.4795 0.4795 0.6414
Pr: 0.5000 0.5000 0.0000
Pr: 0.5205 0.5205 0.3586
Pr: 0.9924 0.9924 0.1882
Y: 0.2531 0.2531 0.5987
Y: 0.7469 0.7469 0.4013


No. 6
First-principles (PBE) data for a geometry-optimized TbPrY2 structure, as listed in Alexandria.

## Properties
excess energy over the best structure of this formula in the dataset = 0 meV per atom

a b c (Å): 11.8973 11.8973 11.8973
angles (deg): 17.44 17.44 17.44
Sites, in units of the cell vectors:
Tb: 0.0000 0.0000 0.0000
Pr: 0.5000 0.5000 0.5000
Y: 0.2513 0.2513 0.2513
Y: 0.7487 0.7487 0.7487


No. 7
First-principles (PBE) data for a geometry-optimized Tb2Pr3Y5 structure, as listed in Alexandria.

a b c (Å): 9.8263 9.8263 9.3647
angles (deg): 108.56 108.56 113.12
Sites, in units of the cell vectors:
Tb: 0.0275 0.2682 0.0436
Tb: 0.2682 0.0275 0.5436
Tb: 0.7318 0.9725 0.4564
Tb: 0.9725 0.7318 0.9564
Pr: 0.2279 0.4775 0.4522
Pr: 0.2695 0.7305 0.2500
Pr: 0.4775 0.2279 0.9522
Pr: 0.5225 0.7721 0.0478
Pr: 0.7305 0.2695 0.7500
Pr: 0.7721 0.5225 0.5478
Y: 0.0278 0.9722 0.7500
Y: 0.1284 0.3618 0.7399
Y: 0.2263 0.7737 0.7500
Y: 0.3618 0.1284 0.2399
Y: 0.4742 0.5258 0.2500
Y: 0.5258 0.4742 0.7500
Y: 0.6382 0.8716 0.7601
Y: 0.7737 0.2263 0.2500
Y: 0.8716 0.6382 0.2601
Y: 0.9722 0.0278 0.2500


No. 8
First-principles (PBE) data for a geometry-optimized TbPr8Y6 structure, as listed in Alexandria.

## Properties
excess energy over the best structure of this formula in the dataset = 51 meV per atom

a b c (Å): 9.5221 9.5221 6.6555
angles (deg): 90.00 90.00 120.00
Sites, in units of the cell vectors:
Tb: 0.0000 0.0000 0.0000
Pr: 0.0392 0.7521 0.3329
Pr: 0.2479 0.2871 0.3329
Pr: 0.2871 0.0392 0.6671
Pr: 0.3333 0.6667 0.3783
Pr: 0.6667 0.3333 0.6217
Pr: 0.7129 0.9608 0.3329
Pr: 0.7521 0.7129 0.6671
Pr: 0.9608 0.2479 0.6671
Y: 0.0950 0.6577 0.8434
Y: 0.3423 0.4372 0.8434
Y: 0.4372 0.0950 0.1566
Y: 0.5628 0.9050 0.8434
Y: 0.6577 0.5628 0.1566
Y: 0.9050 0.3423 0.1566


No. 9
First-principles (PBE) data for a geometry-optimized Tb5PrY6 structure, as listed in Alexandria.

## Properties
excess energy over the best structure of this formula in the dataset = 3 meV per atom

a b c (Å): 8.0055 8.0055 6.1929
angles (deg): 97.49 97.49 84.27
Sites, in units of the cell vectors:
Tb: 0.0000 0.0000 0.0000
Tb: 0.1656 0.8344 0.5000
Tb: 0.3317 0.6683 0.0000
Tb: 0.6683 0.3317 0.0000
Tb: 0.8344 0.1656 0.5000
Pr: 0.5000 0.5000 0.5000
Y: 0.0824 0.4164 0.2501
Y: 0.2493 0.2493 0.7510
Y: 0.4164 0.0824 0.2501
Y: 0.5836 0.9176 0.7499
Y: 0.7507 0.7507 0.2490
Y: 0.9176 0.5836 0.7499


No. 10
First-principles (PBE) data for a geometry-optimized Tb6Pr8Y structure, as listed in Alexandria.

## Properties
excess energy over the best structure of this formula in the dataset = 16 meV per atom

a b c (Å): 9.5147 9.5147 6.6599
angles (deg): 90.00 90.00 120.00
Sites, in units of the cell vectors:
Tb: 0.0925 0.4348 0.3449
Tb: 0.3423 0.9075 0.3449
Tb: 0.4348 0.3423 0.6551
Tb: 0.5652 0.6577 0.3449
Tb: 0.6577 0.0925 0.6551
Tb: 0.9075 0.5652 0.6551
Pr: 0.0350 0.2882 0.8350
Pr: 0.2532 0.9650 0.8350
Pr: 0.2882 0.2532 0.1650
Pr: 0.3333 0.6667 0.8818
Pr: 0.6667 0.3333 0.1182
Pr: 0.7118 0.7468 0.8350
Pr: 0.7468 0.0350 0.1650
Pr: 0.9650 0.7118 0.1650
Y: 0.0000 0.0000 0.5000


No. 11
First-principles (PBE) data for a geometry-optimized Tb4Pr6Y structure, as listed in Alexandria.

a b c (Å): 10.0285 10.0285 10.0285
angles (deg): 141.37 141.37 55.78
Sites, in units of the cell vectors:
Tb: 0.1387 0.1387 0.6290
Tb: 0.4903 0.8613 0.0000
Tb: 0.5097 0.5097 0.3710
Tb: 0.8613 0.4903 0.0000
Pr: 0.0000 0.5000 0.5000
Pr: 0.0433 0.6856 0.0000
Pr: 0.3144 0.3144 0.3577
Pr: 0.5000 0.0000 0.5000
Pr: 0.6856 0.0433 0.0000
Pr: 0.9567 0.9567 0.6423
Y: 0.5000 0.5000 0.0000


No. 12
First-principles (PBE) data for a geometry-optimized Tb2Pr3Y3 structure, as listed in Alexandria.

## Properties
excess energy over the best structure of this formula in the dataset = 0 meV per atom

a b c (Å): 10.8673 10.8673 10.8673
angles (deg): 152.76 152.68 38.96
Sites, in units of the cell vectors:
Tb: 0.2494 0.2494 0.0000
Tb: 0.7506 0.7506 0.0000
Pr: 0.0000 0.0000 0.0000
Pr: 0.3743 0.8743 0.5000
Pr: 0.6257 0.1257 0.5000
Y: 0.1268 0.6268 0.5000
Y: 0.5000 0.5000 0.0000
Y: 0.8732 0.3732 0.5000


No. 13
First-principles (PBE) data for a geometry-optimized Tb12Pr2Y5 structure, as listed in Alexandria.

## Properties
excess energy over the best structure of this formula in the dataset = 113 meV per atom

a b c (Å): 9.2112 9.2112 8.5984
angles (deg): 90.99 90.99 60.09
Sites, in units of the cell vectors:
Tb: 0.0579 0.0579 0.3323
Tb: 0.0660 0.6819 0.3451
Tb: 0.1629 0.5252 0.7553
Tb: 0.3181 0.9340 0.6549
Tb: 0.4066 0.4066 0.1158
Tb: 0.4748 0.8371 0.2447
Tb: 0.5252 0.1629 0.7553
Tb: 0.5934 0.5934 0.8842
Tb: 0.6819 0.0660 0.3451
Tb: 0.8371 0.4748 0.2447
Tb: 0.9340 0.3181 0.6549
Tb: 0.9421 0.9421 0.6677
Pr: 0.1839 0.8161 0.0000
Pr: 0.8161 0.1839 0.0000
Y: 0.1982 0.1982 0.0099
Y: 0.2675 0.2675 0.4249
Y: 0.5000 0.5000 0.5000
Y: 0.7325 0.7325 0.5751
Y: 0.8018 0.8018 0.9901


No. 14
First-principles (PBE) data for a geometry-optimized Tb2PrY12 structure, as listed in Alexandria.

a b c (Å): 6.6736 6.6736 24.5320
angles (deg): 92.25 92.25 115.05
Sites, in units of the cell vectors:
Tb: 0.0627 0.0627 0.2723
Tb: 0.4268 0.4268 0.7269
Tb: 0.5732 0.5732 0.2731
Tb: 0.9373 0.9373 0.7277
Pr: 0.2505 0.2505 0.0011
Pr: 0.7495 0.7495 0.9989
Y: 0.0474 0.5526 0.2023
Y: 0.0878 0.5770 0.3307
Y: 0.1409 0.1409 0.5790
Y: 0.1438 0.6332 0.5547
Y: 0.2162 0.2162 0.8628
Y: 0.2315 0.7317 0.9249
Y: 0.2683 0.7685 0.0751
Y: 0.2848 0.2848 0.1402
Y: 0.3508 0.3508 0.4298
Y: 0.3668 0.8562 0.4453
Y: 0.4230 0.9122 0.6693
Y: 0.4474 0.9526 0.7977
Y: 0.5526 0.0474 0.2023
Y: 0.5770 0.0878 0.3307
Y: 0.6332 0.1438 0.5547
Y: 0.6492 0.6492 0.5702
Y: 0.7151 0.7151 0.8598
Y: 0.7317 0.2315 0.9249
Y: 0.7685 0.2683 0.0751
Y: 0.7838 0.7838 0.1372
Y: 0.8562 0.3668 0.4453
Y: 0.8591 0.8591 0.4210
Y: 0.9122 0.4230 0.6693
Y: 0.9526 0.4474 0.7977


No. 15
First-principles (PBE) data for a geometry-optimized TbPr4Y2 structure, as listed in Alexandria.

## Properties
excess energy over the best structure of this formula in the dataset = 406 meV per atom

a b c (Å): 7.2759 7.2759 6.0817
angles (deg): 90.00 90.00 129.16
Sites, in units of the cell vectors:
Tb: 0.0000 0.0000 0.0000
Pr: 0.1362 0.8638 0.5000
Pr: 0.3071 0.6929 0.0000
Pr: 0.6929 0.3071 0.0000
Pr: 0.8638 0.1362 0.5000
Y: 0.3864 0.6136 0.5000
Y: 0.6136 0.3864 0.5000


No. 16
First-principles (PBE) data for a geometry-optimized TbPr2Y7 structure, as listed in Alexandria.

## Properties
excess energy over the best structure of this formula in the dataset = 0 meV per atom

a b c (Å): 6.2255 6.2349 9.5189
angles (deg): 102.65 109.01 99.65
Sites, in units of the cell vectors:
Tb: 0.0000 0.0000 0.0000
Pr: 0.3976 0.1993 0.3976
Pr: 0.6024 0.8007 0.6024
Y: 0.0000 0.5000 0.5000
Y: 0.1984 0.5988 0.1974
Y: 0.2004 0.1010 0.7016
Y: 0.4004 0.7007 0.9010
Y: 0.5996 0.2993 0.0990
Y: 0.7996 0.8990 0.2984
Y: 0.8016 0.4012 0.8026


No. 17
First-principles (PBE) data for a geometry-optimized Tb2Pr3Y structure, as listed in Alexandria.

## Properties
excess energy over the best structure of this formula in the dataset = 192 meV per atom

a b c (Å): 8.8312 8.8312 8.8312
angles (deg): 98.37 97.06 137.02
Sites, in units of the cell vectors:
Tb: 0.2786 0.1836 0.0950
Tb: 0.4114 0.8164 0.5950
Tb: 0.5886 0.1836 0.4050
Tb: 0.7214 0.8164 0.9050
Pr: 0.0000 0.2890 0.2890
Pr: 0.0000 0.7110 0.7110
Pr: 0.5000 0.0000 0.0000
Pr: 0.5000 0.2890 0.7890
Pr: 0.5000 0.5000 0.5000
Pr: 0.5000 0.7110 0.2110
Y: 0.0533 0.3033 0.7500
Y: 0.9467 0.6967 0.2500


No. 18
First-principles (PBE) data for a geometry-optimized Tb4Pr10Y structure, as listed in Alexandria.

a b c (Å): 9.0184 9.0184 9.0184
angles (deg): 111.73 111.73 105.04
Sites, in units of the cell vectors:
Tb: 0.0558 0.7210 0.7768
Tb: 0.2790 0.0558 0.3349
Tb: 0.7210 0.9442 0.6651
Tb: 0.9442 0.2790 0.2232
Pr: 0.1066 0.2137 0.6525
Pr: 0.2137 0.5612 0.1071
Pr: 0.2500 0.7500 0.5000
Pr: 0.4388 0.5459 0.6525
Pr: 0.4541 0.1066 0.8929
Pr: 0.5459 0.8934 0.1071
Pr: 0.5612 0.4541 0.3475
Pr: 0.7500 0.2500 0.5000
Pr: 0.7863 0.4388 0.8929
Pr: 0.8934 0.7863 0.3475
Y: 0.5000 0.5000 0.0000


The calculation returns the following ρ values, one per record and in order: 5.759; 5.506; 6.917; 7.500; 6.385; 6.006; 5.798; 5.782; 6.274; 6.900; 6.684; 6.215; 6.916; 5.133; 5.989; 5.362; 6.306; 6.303 g/cm3.
The calculation returns the following formation energy from the elements values, one per record and in order: 250.9; 147.0; 152.8; 87.6; 514.1; 16.8; 178.7; 163.4; 20.1; 168.7; 282.2; 19.8; 129.4; 113.4; 465.3; 19.0; 298.2; 415.6 meV per atom.
The calculation returns the following E values, one per record and in order: -5.120; -5.667; -4.679; -4.686; -4.370; -5.568; -5.413; -5.280; -5.539; -4.663; -4.596; -5.354; -4.999; -5.994; -4.774; -5.925; -4.712; -4.436 eV per atom.